(A)
## Li2U2Ni15 (GGA-PBE)

Data for a geometry-optimized Li2U2Ni15 structure.

Summary:
spin magnetization = 4.7 μB per cell

Cell: 6.3425 6.3425 6.3425 Å, 82.53 82.53 82.53°
Sites, in units of the cell vectors:
Li: 0.1270 0.1270 0.1270
Li: 0.8730 0.8730 0.8730
U: 0.3972 0.3972 0.3972
U: 0.6028 0.6028 0.6028
Ni: 0.0000 0.5000 0.5000
Ni: 0.1572 0.1572 0.6673
Ni: 0.1572 0.6673 0.1572
Ni: 0.1775 0.5000 0.8225
Ni: 0.1775 0.8225 0.5000
Ni: 0.3327 0.8428 0.8428
Ni: 0.5000 0.0000 0.5000
Ni: 0.5000 0.1775 0.8225
Ni: 0.5000 0.5000 0.0000
Ni: 0.5000 0.8225 0.1775
Ni: 0.6673 0.1572 0.1572
Ni: 0.8225 0.1775 0.5000
Ni: 0.8225 0.5000 0.1775
Ni: 0.8428 0.3327 0.8428
Ni: 0.8428 0.8428 0.3327

---

(B)
## Li2U2Ni15 (GGA-PBE)

Data for a geometry-optimized Li2U2Ni15 structure.

Summary:
spin magnetization = 1.0 μB per cell

Cell: 6.2451 6.2451 6.2451 Å, 82.47 82.47 82.47°
Sites, in units of the cell vectors:
Li: 0.0908 0.0908 0.0908
Li: 0.9092 0.9092 0.9092
U: 0.3425 0.3425 0.3425
U: 0.6575 0.6575 0.6575
Ni: 0.0000 0.0000 0.5000
Ni: 0.0000 0.3168 0.6832
Ni: 0.0000 0.5000 0.0000
Ni: 0.0000 0.6832 0.3168
Ni: 0.1625 0.6568 0.6568
Ni: 0.3168 0.0000 0.6832
Ni: 0.3168 0.6832 0.0000
Ni: 0.3432 0.3432 0.8375
Ni: 0.3432 0.8375 0.3432
Ni: 0.5000 0.0000 0.0000
Ni: 0.6568 0.1625 0.6568
Ni: 0.6568 0.6568 0.1625
Ni: 0.6832 0.0000 0.3168
Ni: 0.6832 0.3168 0.0000
Ni: 0.8375 0.3432 0.3432

---

Referenced to the most stable arrangement, the calculated values in meV/atom are (A) 126; (B) 0.

---

(A)
## LiV2Ni (GGA-PBE)

Data for a geometry-optimized LiV2Ni structure.

Summary:
spin magnetization = 0.0 μB per cell

Cell: 5.2933 5.2933 5.2933 Å, 101.36 101.36 127.29°
Sites, in units of the cell vectors:
Li: 0.0000 0.0000 0.0000
Li: 0.7500 0.2500 0.5000
V: 0.1492 0.1250 0.5242
V: 0.3750 0.8508 0.9758
V: 0.6008 0.6250 0.4758
V: 0.8750 0.3992 0.0242
Ni: 0.2500 0.7500 0.5000
Ni: 0.5000 0.5000 0.0000

---

(B)
## LiV2Ni (GGA-PBE)

Data for a geometry-optimized LiV2Ni structure.

Summary:
spin magnetization = 3.4 μB per cell

Cell: 4.1586 4.1586 4.1586 Å, 60.00 60.00 60.00°
Sites, in units of the cell vectors:
Li: 0.0000 0.0000 0.0000
V: 0.2500 0.2500 0.2500
V: 0.7500 0.7500 0.7500
Ni: 0.5000 0.5000 0.5000

---

Referenced to the most stable arrangement, the calculated values in meV/atom are (A) 154; (B) 0.

---

(A)
## LiVNi4 (GGA-PBE)

Data for a geometry-optimized LiVNi4 structure.

Summary:
spin magnetization = 0.0 μB per cell

Cell: 4.6048 4.6048 4.9756 Å, 121.84 121.84 51.33°
Sites, in units of the cell vectors:
Li: 0.0000 0.0000 0.0000
V: 0.0000 0.0000 0.5000
Ni: 0.3298 0.3298 0.4751
Ni: 0.3346 0.3346 0.9831
Ni: 0.6654 0.6654 0.0169
Ni: 0.6702 0.6702 0.5249

---

(B)
## LiVNi4 (GGA-PBE)

Data for a geometry-optimized LiVNi4 structure.

Summary:
spin magnetization = 0.0 μB per cell

Cell: 4.6537 4.6537 4.6537 Å, 60.00 60.00 60.00°
Sites, in units of the cell vectors:
Li: 0.0000 0.0000 0.0000
V: 0.2500 0.2500 0.2500
Ni: 0.1244 0.6252 0.6252
Ni: 0.6252 0.1244 0.6252
Ni: 0.6252 0.6252 0.1244
Ni: 0.6252 0.6252 0.6252

---

Referenced to the most stable arrangement, the calculated values in meV/atom are (A) 0; (B) 11.

---

(A)
## Li2VNi (GGA-PBE)

Data for a geometry-optimized Li2VNi structure.

Summary:
spin magnetization = 0.2 μB per cell

Cell: 9.3230 9.3230 9.3230 Å, 15.66 15.66 15.66°
Sites, in units of the cell vectors:
Li: 0.2425 0.2425 0.2425
Li: 0.7575 0.7575 0.7575
V: 0.0000 0.0000 0.0000
Ni: 0.5000 0.5000 0.5000

---

(B)
## Li2VNi (GGA-PBE)

Data for a geometry-optimized Li2VNi structure.

Summary:
spin magnetization = 5.4 μB per cell

Cell: 5.4036 5.4036 5.4036 Å, 101.37 101.37 127.29°
Sites, in units of the cell vectors:
Li: 0.0962 0.6250 0.9712
Li: 0.3750 0.3462 0.4712
Li: 0.6538 0.1250 0.0288
Li: 0.8750 0.9038 0.5288
V: 0.2500 0.7500 0.5000
V: 0.5000 0.5000 0.0000
Ni: 0.0000 0.0000 0.0000
Ni: 0.7500 0.2500 0.5000

---

(C)
## Li2VNi (GGA-PBE)

Data for a geometry-optimized Li2VNi structure.

Summary:
spin magnetization = 3.4 μB per cell

Cell: 4.2150 4.2150 4.2150 Å, 60.00 60.00 60.00°
Sites, in units of the cell vectors:
Li: 0.2500 0.2500 0.2500
Li: 0.7500 0.7500 0.7500
V: 0.0000 0.0000 0.0000
Ni: 0.5000 0.5000 0.5000

---

Referenced to the most stable arrangement, the calculated values in meV/atom are (A) 0; (B) 373; (C) 314.